--- i ---
An optimized crystal structure of LuTiBi2. Source: Alexandria via LeMat-Bulk, functional PBE-GGA.

abc: 7.4312 7.4312 7.4312
angles: 32.99 32.99 32.99
Last column: nearest neighbours and their distance in Å.
Sites, in units of the cell vectors:
Lu1 0.0000 0.0000 0.0000  6 Bi 3.09
Ti1 0.5000 0.5000 0.5000  6 Bi 2.92
Bi1 0.2431 0.2431 0.2431  3 Ti 2.92, 3 Lu 3.09
Bi2 0.7569 0.7569 0.7569  3 Ti 2.92, 3 Lu 3.09

Output
space group: R-3m (166)

=====

--- ii ---
An optimized crystal structure of LuTiBi2. Source: Alexandria via LeMat-Bulk, functional PBE-GGA.

abc: 3.5937 3.5937 7.8004
angles: 90.00 90.00 90.00
Last column: nearest neighbours and their distance in Å.
Sites, in units of the cell vectors:
Lu1 0.0000 0.0000 0.0000  8 Bi 3.32, 4 Lu 3.59
Ti1 0.0000 0.0000 0.5000  8 Bi 3.09
Bi1 0.5000 0.5000 0.2742  4 Ti 3.09, 4 Lu 3.32
Bi2 0.5000 0.5000 0.7258  4 Ti 3.09, 4 Lu 3.32

Output
space group: P4/mmm (123)

=====

Least stable: ii

=====

--- i ---
An optimized crystal structure of LuTl2Bi. Source: Alexandria via LeMat-Bulk, functional PBE-GGA.

abc: 4.8130 4.8130 4.8660
angles: 90.00 90.00 90.00
Last column: nearest neighbours and their distance in Å.
Sites, in units of the cell vectors:
Lu1 0.0000 0.0000 0.0000  4 Bi 3.40, 8 Tl 3.42
Tl1 0.0000 0.5000 0.5000  4 Tl 3.40, 4 Bi 3.42, 4 Lu 3.42
Tl2 0.5000 0.0000 0.5000  4 Tl 3.40, 4 Bi 3.42, 4 Lu 3.42
Bi1 0.5000 0.5000 0.0000  4 Lu 3.40, 8 Tl 3.42

Output
space group: P4/mmm (123)

=====

--- ii ---
An optimized crystal structure of LuTl2Bi. Source: Alexandria via LeMat-Bulk, functional PBE-GGA.

abc: 12.1727 12.1727 12.1727
angles: 16.54 16.54 16.54
Last column: nearest neighbours and their distance in Å.
Sites, in units of the cell vectors:
Lu1 0.0000 0.0000 0.0000  2 Tl 3.13, 6 Lu 3.50
Tl1 0.0869 0.0869 0.0869  1 Lu 3.13, 6 Tl 3.50
Tl2 0.9131 0.9131 0.9131  1 Lu 3.13, 6 Tl 3.50
Bi1 0.5000 0.5000 0.5000  6 Bi 3.50, 6 Tl 3.51

Output
space group: R-3m (166)

=====

Least stable: ii

=====

--- i ---
An optimized crystal structure of Lu2TlBi. Source: Alexandria via LeMat-Bulk, functional PBE-GGA.

abc: 5.3727 5.3727 5.3727
angles: 60.00 60.00 60.00
Last column: nearest neighbours and their distance in Å.
Sites, in units of the cell vectors:
Lu1 0.2500 0.2500 0.2500  4 Bi 3.29, 4 Tl 3.29
Lu2 0.7500 0.7500 0.7500  4 Bi 3.29, 4 Tl 3.29
Tl1 0.0000 0.0000 0.0000  8 Lu 3.29
Bi1 0.5000 0.5000 0.5000  8 Lu 3.29

Output
space group: Fm-3m (225)

=====

--- ii ---
An optimized crystal structure of Lu2TlBi. Source: Alexandria via LeMat-Bulk, functional PBE-GGA.

abc: 8.3865 8.3865 8.3865
angles: 28.55 28.55 28.55
Last column: nearest neighbours and their distance in Å.
Sites, in units of the cell vectors:
Lu1 0.2459 0.2459 0.2459  3 Bi 3.06, 3 Tl 3.19
Lu2 0.7541 0.7541 0.7541  3 Bi 3.06, 3 Tl 3.19
Tl1 0.0000 0.0000 0.0000  6 Lu 3.19
Bi1 0.5000 0.5000 0.5000  6 Lu 3.06

Output
space group: R-3m (166)

=====

--- iii ---
An optimized crystal structure of Lu2TlBi. Source: Alexandria via LeMat-Bulk, functional PBE-GGA.

abc: 3.9723 3.9723 6.9251
angles: 90.00 90.00 90.00
Last column: nearest neighbours and their distance in Å.
Sites, in units of the cell vectors:
Lu1 0.0000 0.0000 0.2472  4 Bi 3.29, 4 Tl 3.31, 2 Lu 3.42-3.50
Lu2 0.0000 0.0000 0.7528  4 Bi 3.29, 4 Tl 3.31, 2 Lu 3.42-3.50
Tl1 0.5000 0.5000 0.5000  8 Lu 3.31, 2 Bi 3.46
Bi1 0.5000 0.5000 0.0000  8 Lu 3.29, 2 Tl 3.46

Output
space group: P4/mmm (123)

=====

Least stable: i

=====

--- i ---
An optimized crystal structure of TmLu2Bi. Source: Alexandria via LeMat-Bulk, functional PBE-GGA.

abc: 4.8027 4.8027 4.8233
angles: 90.00 90.00 90.00
Last column: nearest neighbours and their distance in Å.
Sites, in units of the cell vectors:
Tm1 0.0000 0.0000 0.0000  4 Bi 3.40, 8 Lu 3.40
Lu1 0.0000 0.5000 0.5000  4 Lu 3.40, 4 Bi 3.40, 4 Tm 3.40
Lu2 0.5000 0.0000 0.5000  4 Lu 3.40, 4 Bi 3.40, 4 Tm 3.40
Bi1 0.5000 0.5000 0.0000  4 Tm 3.40, 8 Lu 3.40

Output
space group: P4/mmm (123)

=====

--- ii ---
An optimized crystal structure of TmLu2Bi. Source: Alexandria via LeMat-Bulk, functional PBE-GGA.

abc: 4.0328 4.0328 7.0109
angles: 90.00 90.00 90.00
Last column: nearest neighbours and their distance in Å.
Sites, in units of the cell vectors:
Tm1 0.0000 0.0000 0.0000  8 Lu 3.38, 2 Bi 3.51
Lu1 0.5000 0.5000 0.2593  4 Bi 3.31, 2 Lu 3.37-3.64, 4 Tm 3.38
Lu2 0.5000 0.5000 0.7407  4 Bi 3.31, 2 Lu 3.37-3.64, 4 Tm 3.38
Bi1 0.0000 0.0000 0.5000  8 Lu 3.31, 2 Tm 3.51

Output
space group: P4/mmm (123)

=====

Least stable: i

=====

--- i ---
An optimized crystal structure of Lu2ZnBi. Source: Alexandria via LeMat-Bulk, functional PBE-GGA.

abc: 3.6328 3.6328 7.5687
angles: 90.00 90.00 90.00
Last column: nearest neighbours and their distance in Å.
Sites, in units of the cell vectors:
Lu1 0.0000 0.0000 0.2245  4 Zn 3.08, 4 Bi 3.31, 1 Lu 3.40
Lu2 0.0000 0.0000 0.7755  4 Zn 3.08, 4 Bi 3.31, 1 Lu 3.40
Zn1 0.5000 0.5000 0.0000  8 Lu 3.08
Bi1 0.5000 0.5000 0.5000  8 Lu 3.31, 4 Bi 3.63

Output
space group: P4/mmm (123)

=====

--- ii ---
An optimized crystal structure of Lu2ZnBi. Source: Alexandria via LeMat-Bulk, functional PBE-GGA.

abc: 6.1155 6.1155 6.1155
angles: 45.29 45.29 45.29
Last column: nearest neighbours and their distance in Å.
Sites, in units of the cell vectors:
Lu1 0.2368 0.2368 0.2368  3 Zn 2.95, 3 Bi 3.15
Lu2 0.7632 0.7632 0.7632  3 Zn 2.95, 3 Bi 3.15
Zn1 0.5000 0.5000 0.5000  6 Lu 2.95
Bi1 0.0000 0.0000 0.0000  6 Lu 3.15

Output
space group: R-3m (166)

=====

Least stable: ii

=====

--- i ---
An optimized crystal structure of Lu2ZrBi. Source: Alexandria via LeMat-Bulk, functional PBE-GGA.

abc: 3.8937 3.8937 7.0427
angles: 90.00 90.00 90.00
Last column: nearest neighbours and their distance in Å.
Sites, in units of the cell vectors:
Lu1 0.0000 0.0000 0.2478  4 Bi 3.26, 4 Zr 3.28, 2 Lu 3.49-3.55
Lu2 0.0000 0.0000 0.7522  4 Bi 3.26, 4 Zr 3.28, 2 Lu 3.49-3.55
Zr1 0.5000 0.5000 0.5000  8 Lu 3.28, 2 Bi 3.52
Bi1 0.5000 0.5000 0.0000  8 Lu 3.26, 2 Zr 3.52

Output
space group: P4/mmm (123)

=====

--- ii ---
An optimized crystal structure of Lu2ZrBi. Source: Alexandria via LeMat-Bulk, functional PBE-GGA.

abc: 4.7867 4.7867 4.5053
angles: 90.00 90.00 90.00
Last column: nearest neighbours and their distance in Å.
Sites, in units of the cell vectors:
Lu1 0.0000 0.5000 0.0000  4 Bi 3.29, 4 Zr 3.29, 4 Lu 3.38
Lu2 0.5000 0.0000 0.0000  4 Bi 3.29, 4 Zr 3.29, 4 Lu 3.38
Zr1 0.0000 0.0000 0.5000  8 Lu 3.29, 4 Bi 3.38
Bi1 0.5000 0.5000 0.5000  8 Lu 3.29, 4 Zr 3.38

Output
space group: P4/mmm (123)

=====

Least stable: ii

=====

--- i ---
An optimized crystal structure of Mg7Bi. Source: Alexandria via LeMat-Bulk, functional PBE-GGA.

abc: 6.4623 6.4623 6.4623
angles: 60.00 60.00 60.00
Last column: nearest neighbours and their distance in Å.
Sites, in units of the cell vectors:
Mg1 0.0000 0.0000 0.0000  12 Mg 3.23
Mg2 0.0000 0.0000 0.5000  10 Mg 3.23, 2 Bi 3.23
Mg3 0.0000 0.5000 0.0000  10 Mg 3.23, 2 Bi 3.23
Mg4 0.0000 0.5000 0.5000  2 Bi 3.23, 10 Mg 3.23
Mg5 0.5000 0.0000 0.0000  10 Mg 3.23, 2 Bi 3.23
Mg6 0.5000 0.0000 0.5000  2 Bi 3.23, 10 Mg 3.23
Mg7 0.5000 0.5000 0.0000  2 Bi 3.23, 10 Mg 3.23
Bi1 0.5000 0.5000 0.5000  12 Mg 3.23

Output
space group: Fm-3m (225)

=====

--- ii ---
An optimized crystal structure of Mg7Bi. Source: Alexandria via LeMat-Bulk, functional PBE-GGA.

abc: 6.5746 6.5746 5.1255
angles: 90.00 90.00 120.00
Last column: nearest neighbours and their distance in Å.
Sites, in units of the cell vectors:
Mg1 0.0000 0.0000 0.0000  12 Mg 3.18-3.29
Mg2 0.3310 0.1655 0.5000  10 Mg 3.16-3.31, 2 Bi 3.29
Mg3 0.5089 0.0177 0.0000  10 Mg 3.11-3.46, 2 Bi 3.25
Mg4 0.5089 0.4911 0.0000  10 Mg 3.11-3.46, 2 Bi 3.25
Mg5 0.8345 0.1655 0.5000  10 Mg 3.16-3.31, 2 Bi 3.29
Mg6 0.8345 0.6690 0.5000  10 Mg 3.16-3.31, 2 Bi 3.29
Mg7 0.9823 0.4911 0.0000  10 Mg 3.11-3.46, 2 Bi 3.25
Bi1 0.3333 0.6667 0.5000  12 Mg 3.25-3.29

Output
space group: P-6m2 (187)

=====

Least stable: ii

=====

--- i ---
An optimized crystal structure of MgMn2Bi2. Source: Alexandria via LeMat-Bulk, functional PBE-GGA.

abc: 7.7847 7.7847 3.1973
angles: 90.00 90.00 90.00
Last column: nearest neighbours and their distance in Å.
Sites, in units of the cell vectors:
Mg1 0.0000 0.0000 0.0000  4 Bi 2.95, 2 Mg 3.20
Mg2 0.5000 0.5000 0.0000  4 Bi 2.95, 2 Mg 3.20
Mn1 0.1404 0.3596 0.5000  6 Bi 2.77-2.79, 1 Mn 3.09
Mn2 0.3596 0.8596 0.5000  6 Bi 2.77-2.79, 1 Mn 3.09
Mn3 0.6404 0.1404 0.5000  6 Bi 2.77-2.79, 1 Mn 3.09
Mn4 0.8596 0.6404 0.5000  6 Bi 2.77-2.79, 1 Mn 3.09
Bi1 0.1536 0.6536 0.0000  6 Mn 2.77-2.79, 2 Mg 2.95
Bi2 0.3464 0.1536 0.0000  6 Mn 2.77-2.79, 2 Mg 2.95
Bi3 0.6536 0.8464 0.0000  6 Mn 2.77-2.79, 2 Mg 2.95
Bi4 0.8464 0.3464 0.0000  6 Mn 2.77-2.79, 2 Mg 2.95

Output
space group: P4/mbm (127)

=====

--- ii ---
An optimized crystal structure of MgMn2Bi2. Source: Alexandria via LeMat-Bulk, functional PBE-GGA.

abc: 8.7872 8.7872 8.7872
angles: 155.74 155.74 34.57
Last column: nearest neighbours and their distance in Å.
Sites, in units of the cell vectors:
Mg1 0.0000 0.0000 0.0000  8 Bi 3.30, 4 Mg 3.69
Mn1 0.2500 0.7500 0.5000  4 Mn 2.61, 4 Bi 2.86
Mn2 0.7500 0.2500 0.5000  4 Mn 2.61, 4 Bi 2.86
Bi1 0.3798 0.3798 0.0000  4 Mn 2.86
Bi2 0.6202 0.6202 0.0000  4 Mn 2.86

Output
space group: I4/mmm (139)

=====

Least stable: i

=====

--- i ---
An optimized crystal structure of MgMn2Bi. Source: Alexandria via LeMat-Bulk, functional PBE-GGA.

abc: 6.1411 6.1411 6.1411
angles: 102.79 102.79 123.86
Last column: nearest neighbours and their distance in Å.
Sites, in units of the cell vectors:
Mg1 0.0000 0.0000 0.0000  4 Mn 2.80, 2 Bi 2.89
Mg2 0.7500 0.2500 0.5000  4 Mn 2.80, 2 Bi 2.89
Mn1 0.1248 0.6250 0.9998  2 Mg 2.80, 2 Bi 2.81, 2 Mn 2.89
Mn2 0.3750 0.3748 0.4998  2 Mg 2.80, 2 Bi 2.81, 2 Mn 2.89
Mn3 0.6252 0.1250 0.0002  2 Mg 2.80, 2 Bi 2.81, 2 Mn 2.89
Mn4 0.8750 0.8752 0.5002  2 Mg 2.80, 2 Bi 2.81, 2 Mn 2.89
Bi1 0.2500 0.7500 0.5000  4 Mn 2.81, 2 Mg 2.89
Bi2 0.5000 0.5000 0.0000  4 Mn 2.81, 2 Mg 2.89

Output
space group: I-42d (122)

=====

--- ii ---
An optimized crystal structure of MgMn2Bi. Source: Alexandria via LeMat-Bulk, functional PBE-GGA.

abc: 4.7363 4.7363 4.7363
angles: 60.00 60.00 60.00
Last column: nearest neighbours and their distance in Å.
Sites, in units of the cell vectors:
Mg1 0.0000 0.0000 0.0000  8 Mn 2.90
Mn1 0.2500 0.2500 0.2500  4 Bi 2.90, 4 Mg 2.90
Mn2 0.7500 0.7500 0.7500  4 Mg 2.90, 4 Bi 2.90
Bi1 0.5000 0.5000 0.5000  8 Mn 2.90

Output
space group: Fm-3m (225)

=====

Least stable: i